1.
Entry from Alexandria: a relaxed structure of NaHf2Al2 (GGA-PBE).

Cell lengths 8.638, 8.638, 2.931 Å; angles 90.00, 90.00, 90.00 degrees
Space group P4/mbm (No. 127)
Unique sites:
Na 0.000 0.000 0.000
Hf 0.125 0.375 0.000
Al 0.169 0.669 0.500

Results
Spin magnetization (μB/atom): 0.000
Electronic total energy (eV per atom): -5.7294
Fermi-level density of states (states/eV/atom): 0.710

=====

2.
Entry from Alexandria: a relaxed structure of Sm7Tm5 (GGA-PBE).

Cell lengths 18.573, 3.591, 13.114 Å; angles 90.00, 118.11, 90.00 degrees
Space group C2/m (No. 12)
Unique sites:
Sm 0.000 0.000 0.000
Sm 0.028 0.500 0.250
Sm 0.139 0.000 0.751
Sm 0.168 0.000 0.504
Tm 0.000 0.500 0.500
Tm 0.168 0.500 0.002
Tm 0.194 0.000 0.248

Results
Spin magnetization (μB/atom): 0.000
Electronic total energy (eV per atom): -4.6073
Fermi-level density of states (states/eV/atom): 1.340

=====

3.
Entry from Alexandria: a relaxed structure of In2PdPt2 (GGA-PBE).

Cell lengths 7.731, 7.731, 3.069 Å; angles 90.00, 90.00, 90.00 degrees
Space group P4/mbm (No. 127)
Unique sites:
In 0.167 0.333 0.000
Pd 0.000 0.000 0.500
Pt 0.132 0.632 0.500

Results
Spin magnetization (μB/atom): 0.000
Electronic total energy (eV per atom): -4.9179
Fermi-level density of states (states/eV/atom): 0.408

=====

4.
Entry from Alexandria: a relaxed structure of Er2Co2Hg (GGA-PBE).

Cell lengths 3.817, 13.537, 3.865 Å; angles 90.00, 90.00, 90.00 degrees
Space group Cmmm (No. 65)
Unique sites:
Er 0.000 0.137 0.000
Co 0.000 0.293 0.500
Hg 0.000 0.500 0.500

Results
Spin magnetization (μB/atom): 0.296
Electronic total energy (eV per atom): -5.0718
Fermi-level density of states (states/eV/atom): 1.038

=====

5.
Entry from Alexandria: a relaxed structure of Pd2Pb8Au (GGA-PBE).

Cell lengths 8.705, 12.869, 5.548 Å; angles 90.00, 107.04, 90.00 degrees
Space group C2/m (No. 12)
Unique sites:
Pd 0.000 0.183 0.000
Pb 0.000 0.268 0.500
Pb 0.131 0.000 0.315
Pb 0.202 0.373 0.100
Au 0.000 0.500 0.500

Results
Spin magnetization (μB/atom): 0.000
Electronic total energy (eV per atom): -4.0143
Fermi-level density of states (states/eV/atom): 0.561

=====

6.
Entry from Alexandria: a relaxed structure of Fe2CoNi (GGA-PBE).

Cell lengths 8.333, 2.512, 4.408 Å; angles 90.00, 99.67, 90.00 degrees
Space group C2/m (No. 12)
Unique sites:
Fe 0.248 0.000 0.249
Co 0.000 0.000 0.500
Ni 0.000 0.500 0.000

Results
Spin magnetization (μB/atom): 1.865
Electronic total energy (eV per atom): -7.4291
Fermi-level density of states (states/eV/atom): 0.970

=====

7.
Entry from Alexandria: a relaxed structure of PuPa2AlN5 (GGA-PBE).

Cell lengths 3.463, 13.581, 10.946 Å; angles 90.00, 90.00, 90.00 degrees
Space group Cmc2_1 (No. 36)
Unique sites:
Pu 0.000 0.211 0.000
Pa 0.000 0.124 0.268
Pa 0.000 0.138 0.719
Al 0.000 0.492 0.011
N 0.000 0.040 0.074
N 0.000 0.288 0.343
N 0.000 0.296 0.661
N 0.000 0.366 0.087
N 0.000 0.473 0.835

Results
Spin magnetization (μB/atom): 0.651
Formation energy from raw total energies (kJ/mol of formula units): -1148
Fermi-level density of states (states/eV/atom): 1.081

=====

8.
Entry from Alexandria: a relaxed structure of CdCuRu2 (GGA-PBE).

Cell lengths 3.024, 3.024, 6.643 Å; angles 90.00, 90.00, 90.00 degrees
Space group P4/mmm (No. 123)
Unique sites:
Cd 0.000 0.000 0.000
Cu 0.000 0.000 0.500
Ru 0.500 0.500 0.293

Results
Spin magnetization (μB/atom): 0.468
Electronic total energy (eV per atom): -5.4256
Fermi-level density of states (states/eV/atom): 1.153

=====

What did the fifth record say?
Entry from Alexandria: a relaxed structure of Pd2Pb8Au (GGA-PBE).

Cell lengths 8.705, 12.869, 5.548 Å; angles 90.00, 107.04, 90.00 degrees
Space group C2/m (No. 12)
Unique sites:
Pd 0.000 0.183 0.000
Pb 0.000 0.268 0.500
Pb 0.131 0.000 0.315
Pb 0.202 0.373 0.100
Au 0.000 0.500 0.500

Results
Spin magnetization (μB/atom): 0.000
Electronic total energy (eV per atom): -4.0143
Fermi-level density of states (states/eV/atom): 0.561

=====

Q: What is the formula in the seventh record?
A: PuPa2AlN5